AlZnAs2O8 (PBE, optimized geometry); formation energy without anion corrections = -1.265 eV per atom; N(E_F) = 10.18 states/eV/cell
1.0
-3.213 3.213 3.166
3.213 -3.213 3.166
3.213 3.213 -3.166
Al Zn As O
1 1 2 8
Direct
0.000 0.000 0.000
0.750 0.250 0.500
0.250 0.750 0.500
0.500 0.500 0.000
0.074 0.369 0.295
0.074 0.778 0.705
0.119 0.310 0.809
0.222 0.926 0.295
0.501 0.310 0.191
0.631 0.926 0.705
0.690 0.499 0.809
0.690 0.881 0.191